A plane-wave DFT calculation with PBE with a Hubbard U was carried out for CsK2Ni3F12 after structural relaxation.

Structure (extended XYZ):
```
18
Lattice="3.666 2.117 6.057 -3.666 2.117 6.057 0.000 -4.233 6.057" Properties=species:S:1:pos:R:3 pbc="T T T"
Cs 0.000 0.000 0.000
K 0.000 0.000 6.926
K 0.000 0.000 11.245
Ni -3.666 0.000 9.085
Ni -1.833 1.058 3.028
Ni 1.833 1.058 3.028
F -2.217 -1.280 9.472
F 0.000 -1.667 4.764
F -1.443 0.833 4.764
F 0.000 -2.559 8.698
F -2.217 1.280 8.698
F -1.443 -0.833 13.406
F 1.443 0.833 4.764
F 2.217 -1.280 9.472
F 0.000 2.559 9.472
F 1.443 -0.833 13.406
F 0.000 1.667 13.406
F 2.217 1.280 8.698
```

Calculated values
The final energy is -71.02 eV per cell.